No. 1
DFT (PBE-GGA) results for a geometry-optimized Li3Tb2GaCu12 structure.

Summary:
As for the density of states at the Fermi level: 9.46 states/eV/f.u. Its formation energy is -0.0024 eV per atom. The mass density comes out at 7.2 g cm⁻³. As for the total magnetization: 0.0 μB/f.u.

a = 6.503 Å, b = 6.503 Å, c = 6.503 Å
α = 83.51°, β = 83.51°, γ = 83.51°
Fractional coordinates of all 18 atoms:
Li: 0.500 0.000 0.000
Li: 0.000 0.500 0.000
Li: 0.000 0.000 0.500
Tb: 0.717 0.717 0.717
Tb: 0.283 0.283 0.283
Ga: 0.000 0.000 0.000
Cu: 0.426 0.426 0.851
Cu: 0.799 0.799 0.270
Cu: 0.270 0.799 0.799
Cu: 0.851 0.426 0.426
Cu: 0.799 0.270 0.799
Cu: 0.426 0.851 0.426
Cu: 0.574 0.574 0.149
Cu: 0.201 0.201 0.730
Cu: 0.730 0.201 0.201
Cu: 0.149 0.574 0.574
Cu: 0.201 0.730 0.201
Cu: 0.574 0.149 0.574

No. 2
DFT (PBE-GGA) results for a geometry-optimized LiTbGa2Cu structure.

Summary:
As for the density of states at the Fermi level: 2.35 states/eV/f.u. Its formation energy is -0.3913 eV per atom. The mass density comes out at 6.8 g cm⁻³. As for the total magnetization: 0.0 μB/f.u.

a = 4.206 Å, b = 4.206 Å, c = 5.874 Å
α = 110.98°, β = 110.98°, γ = 90.00°
Fractional coordinates of all 5 atoms:
Li: 0.250 0.750 0.500
Tb: 0.000 0.000 0.000
Ga: 0.621 0.621 0.243
Ga: 0.379 0.379 0.757
Cu: 0.750 0.250 0.500

No. 3
DFT (PBE-GGA) results for a geometry-optimized LiGa2CuTe4 structure.

Summary:
As for the density of states at the Fermi level: 0.17 states/eV/f.u. The mass density comes out at 5.1 g cm⁻³. As for the total magnetization: 0.0 μB/f.u. The value obtained for the uncorrected formation energy is -3.48 eV per formula unit.

a = 6.120 Å, b = 6.120 Å, c = 7.587 Å
α = 113.80°, β = 113.80°, γ = 89.99°
Fractional coordinates of all 8 atoms:
Li: 0.000 0.000 0.999
Ga: 0.750 0.250 0.500
Ga: 0.250 0.750 0.500
Cu: 0.500 0.500 0.001
Te: 0.621 0.621 0.757
Te: 0.379 0.864 0.243
Te: 0.864 0.379 0.243
Te: 0.136 0.136 0.757

No. 4
DFT (PBE-GGA) results for a geometry-optimized LiTh2Ga4Cu3 structure.

Summary:
As for the density of states at the Fermi level: 7.46 states/eV/f.u. Its formation energy is -0.3979 eV per atom. The mass density comes out at 8.6 g cm⁻³. As for the total magnetization: 0.0 μB/f.u.

a = 4.275 Å, b = 4.275 Å, c = 9.986 Å
α = 90.00°, β = 90.00°, γ = 90.00°
Fractional coordinates of all 10 atoms:
Li: 0.500 0.500 0.500
Th: 0.500 0.000 0.250
Th: 0.000 0.500 0.750
Ga: 0.500 0.500 0.000
Ga: 0.000 0.000 0.000
Ga: 0.500 0.000 0.630
Ga: 0.000 0.500 0.370
Cu: 0.000 0.000 0.500
Cu: 0.500 0.000 0.872
Cu: 0.000 0.500 0.128

No. 5
DFT (PBE-GGA) results for a geometry-optimized LiTiGaCu structure.

Summary:
As for the density of states at the Fermi level: 1.76 states/eV/f.u. Its formation energy is -0.2078 eV per atom. The mass density comes out at 5.4 g cm⁻³. As for the total magnetization: 0.0 μB/f.u.

a = 4.331 Å, b = 4.331 Å, c = 4.331 Å
α = 60.00°, β = 60.00°, γ = 60.00°
Fractional coordinates of all 4 atoms:
Li: 0.750 0.750 0.750
Cu: 0.500 0.500 0.500
Ga: 0.000 0.000 0.000
Ti: 0.250 0.250 0.250

No. 6
DFT (PBE-GGA) results for a geometry-optimized LiTlGaCu structure.

Summary:
As for the density of states at the Fermi level: 2.26 states/eV/f.u. Its formation energy is -0.0245 eV per atom. The mass density comes out at 8.3 g cm⁻³. As for the total magnetization: 0.0 μB/f.u.

a = 4.600 Å, b = 4.600 Å, c = 4.600 Å
α = 60.00°, β = 60.00°, γ = 60.00°
Fractional coordinates of all 4 atoms:
Tl: 0.000 0.000 0.000
Cu: 0.250 0.250 0.250
Ga: 0.500 0.500 0.500
Li: 0.750 0.750 0.750

No. 7
DFT (PBE-GGA) results for a geometry-optimized LiTmGa4Cu2 structure.

Summary:
As for the density of states at the Fermi level: 1.93 states/eV/f.u. Its formation energy is -0.3107 eV per atom. The mass density comes out at 7.4 g cm⁻³. As for the total magnetization: 0.0 μB/f.u.

a = 4.201 Å, b = 4.201 Å, c = 8.852 Å
α = 76.27°, β = 76.27°, γ = 60.00°
Fractional coordinates of all 8 atoms:
Li: 0.500 0.500 0.500
Tm: 0.000 0.000 0.000
Ga: 0.398 0.398 0.806
Ga: 0.875 0.875 0.376
Ga: 0.125 0.125 0.624
Ga: 0.602 0.602 0.194
Cu: 0.767 0.767 0.698
Cu: 0.233 0.233 0.302

No. 8
DFT (PBE-GGA) results for a geometry-optimized LiTm2Ga4Cu3 structure.

Summary:
As for the density of states at the Fermi level: 5.34 states/eV/f.u. Its formation energy is -0.3925 eV per atom. The mass density comes out at 7.9 g cm⁻³. As for the total magnetization: 0.0 μB/f.u.

a = 4.005 Å, b = 4.005 Å, c = 10.726 Å
α = 90.00°, β = 90.00°, γ = 90.00°
Fractional coordinates of all 10 atoms:
Li: 0.500 0.500 0.500
Tm: 0.500 0.000 0.241
Tm: 0.000 0.500 0.759
Ga: 0.500 0.500 0.000
Ga: 0.000 0.000 0.000
Ga: 0.500 0.000 0.641
Ga: 0.000 0.500 0.359
Cu: 0.000 0.000 0.500
Cu: 0.500 0.000 0.863
Cu: 0.000 0.500 0.137

No. 9
DFT (PBE-GGA) results for a geometry-optimized LiTmGaCu structure.

Summary:
As for the density of states at the Fermi level: 0.83 states/eV/f.u. Its formation energy is -0.3749 eV per atom. The mass density comes out at 7.8 g cm⁻³. As for the total magnetization: 0.0 μB/f.u.

a = 4.522 Å, b = 4.522 Å, c = 4.522 Å
α = 60.00°, β = 60.00°, γ = 60.00°
Fractional coordinates of all 4 atoms:
Tm: 0.000 0.000 0.000
Cu: 0.250 0.250 0.250
Ga: 0.500 0.500 0.500
Li: 0.750 0.750 0.750

No. 10
DFT (PBE-GGA) results for a geometry-optimized Li2GaCuW structure.

Summary:
As for the density of states at the Fermi level: 2.17 states/eV/f.u. Its formation energy is 0.9811 eV per atom. The mass density comes out at 6.2 g cm⁻³. As for the total magnetization: 1.0 μB/f.u.

a = 4.303 Å, b = 4.806 Å, c = 4.303 Å
α = 90.00°, β = 90.00°, γ = 90.00°
Last column: magnetic moment on the atom in μB.
Fractional coordinates of all 5 atoms:
Cu: 0.500 0.500 0.500  0.07
Ga: 0.000 0.000 0.000  -0.05
W: 0.000 0.500 0.000  0.73
Li: 0.000 0.000 0.500  -0.02
Li: 0.500 0.000 0.000  -0.01

No. 11
DFT (PBE-GGA) results for a geometry-optimized LiY2Ga4Cu3 structure.

Summary:
As for the density of states at the Fermi level: 5.89 states/eV/f.u. Its formation energy is -0.4192 eV per atom. The mass density comes out at 6.2 g cm⁻³. As for the total magnetization: 0.0 μB/f.u.

a = 4.127 Å, b = 4.127 Å, c = 10.303 Å
α = 90.00°, β = 90.00°, γ = 90.00°
Fractional coordinates of all 10 atoms:
Li: 0.500 0.500 0.500
Y: 0.500 0.000 0.246
Y: 0.000 0.500 0.754
Ga: 0.500 0.500 0.000
Ga: 0.000 0.000 0.000
Ga: 0.500 0.000 0.636
Ga: 0.000 0.500 0.364
Cu: 0.000 0.000 0.500
Cu: 0.500 0.000 0.867
Cu: 0.000 0.500 0.133

No. 12
DFT (PBE-GGA) results for a geometry-optimized LiYGa2Cu structure.

Summary:
As for the density of states at the Fermi level: 2.62 states/eV/f.u. Its formation energy is -0.3994 eV per atom. The mass density comes out at 5.6 g cm⁻³. As for the total magnetization: 0.0 μB/f.u.

a = 4.183 Å, b = 4.183 Å, c = 5.903 Å
α = 110.75°, β = 110.75°, γ = 90.00°
Fractional coordinates of all 5 atoms:
Li: 0.750 0.250 0.500
Y: 0.000 0.000 0.000
Ga: 0.621 0.621 0.242
Ga: 0.379 0.379 0.758
Cu: 0.250 0.750 0.500